No. 1
DFT (PBE-GGA) results for an optimized crystal structure of Rb3Er.

Cell and atoms, written as POSCAR:
```
Rb3Er
1.0
-6.2659 0.0895 -1.0920
0.6438 -4.8288 -4.0902
-0.8865 -4.1396 4.7476
Rb Er
3 1
Direct
0.5000 0.0000 0.0000 Rb
0.0000 0.5000 0.0000 Rb
0.0000 0.0000 0.5000 Rb
0.5000 0.5000 0.5000 Er
```

## Properties
Energy relative to the lowest polymorph listed for this composition = 6.7 meV per atom
Density of states at the Fermi level = 6.10 states/eV/f.u.
DFT formation energy = 0.629 eV per atom
Spin magnetization = 0.5 μB/cell
Calculated density = 2733 kg/m³

No. 2
DFT (PBE-GGA) results for an optimized crystal structure of PrNd3Ag.

Cell and atoms, written as POSCAR:
```
PrNd3Ag
1.0
-0.4694 -6.7435 2.9737
3.1679 4.5876 4.8432
-7.0318 3.9019 -1.1679
Pr Nd Ag
2 6 2
Direct
0.6850 0.0830 0.7679 Pr
0.3150 0.9170 0.2321 Pr
0.8170 0.9749 0.1996 Nd
0.2247 0.3826 0.1996 Nd
0.7753 0.6174 0.8004 Nd
0.7507 0.4519 0.2026 Nd
0.1830 0.0251 0.8004 Nd
0.2493 0.5481 0.7974 Nd
0.6786 0.7665 0.4451 Ag
0.3214 0.2335 0.5549 Ag
```

## Properties
Energy relative to the lowest polymorph listed for this composition = 125.4 meV per atom
Density of states at the Fermi level = 6.61 states/eV/f.u.
DFT formation energy = 0.061 eV per atom
Spin magnetization = 0.0 μB/cell
Calculated density = 6489 kg/m³

No. 3
DFT (PBE-GGA) results for an optimized crystal structure of MnSi2N.

Cell and atoms, written as POSCAR:
```
MnSi2N
1.0
3.6743 0.0000 0.0000
0.0000 2.8004 0.0000
0.0000 0.0000 10.5304
Mn Si N
2 4 2
Direct
0.5000 0.0000 0.8561 Mn
0.5000 0.5000 0.3561 Mn
0.0000 0.0000 0.3858 Si
0.0000 0.5000 0.8858 Si
0.5000 0.0000 0.0730 Si
0.5000 0.5000 0.5730 Si
0.5000 0.0000 0.6664 N
0.5000 0.5000 0.1664 N
```

## Properties
Energy relative to the elements, uncorrected = -0.14 eV per atom
Density of states at the Fermi level = 1.76 states/eV/f.u.
Spin magnetization = 1.5 μB/cell
Calculated density = 3835 kg/m³